Record 1
# Pu2NpVN4, relaxed, DFT PBE-GGA
data_Pu2NpVN4
_chemical_formula_sum 'Pu4 Np2 V2 N8'
_cell_length_a 5.965
_cell_length_b 5.965
_cell_length_c 11.821
_cell_angle_alpha 90.00
_cell_angle_beta 90.00
_cell_angle_gamma 147.64
_space_group_name_H-M_alt 'P 1'
_space_group_IT_number 1
loop_
_space_group_symop_operation_xyz
'x,y,z'
loop_
_atom_site_label
_atom_site_fract_x
_atom_site_fract_y
_atom_site_fract_z
_atom_site_occupancy
Pu1 0.133 0.867 0.546 1
Pu2 0.133 0.867 0.954 1
Pu3 0.867 0.133 0.046 1
Pu4 0.867 0.133 0.454 1
Np1 0.399 0.601 0.750 1
Np2 0.601 0.399 0.250 1
V1 0.336 0.664 0.250 1
V2 0.664 0.336 0.750 1
N1 0.056 0.944 0.750 1
N2 0.226 0.774 0.131 1
N3 0.226 0.774 0.369 1
N4 0.500 0.500 0.000 1
N5 0.500 0.500 0.500 1
N6 0.774 0.226 0.631 1
N7 0.774 0.226 0.869 1
N8 0.944 0.056 0.250 1
# Formation energy from raw total energies in eV/atom: -0.99
# Energy in eV/atom: -11.492
# Mass density in g/cm³: 12.276
# Total moment in Bohr magnetons per cell: 27.61

***

Record 2
# PuNp2VN4, relaxed, DFT PBE-GGA
data_PuNp2VN4
_chemical_formula_sum 'Pu2 Np4 V2 N8'
_cell_length_a 5.973
_cell_length_b 5.973
_cell_length_c 11.406
_cell_angle_alpha 90.00
_cell_angle_beta 90.00
_cell_angle_gamma 147.54
_space_group_name_H-M_alt 'P 1'
_space_group_IT_number 1
loop_
_space_group_symop_operation_xyz
'x,y,z'
loop_
_atom_site_label
_atom_site_fract_x
_atom_site_fract_y
_atom_site_fract_z
_atom_site_occupancy
Pu1 0.106 0.894 0.750 1
Pu2 0.894 0.106 0.250 1
Np1 0.369 0.631 0.550 1
Np2 0.369 0.631 0.950 1
Np3 0.631 0.369 0.050 1
Np4 0.631 0.369 0.450 1
V1 0.157 0.843 0.250 1
V2 0.843 0.157 0.750 1
N1 0.000 0.000 0.000 1
N2 0.000 0.000 0.500 1
N3 0.272 0.728 0.122 1
N4 0.272 0.728 0.378 1
N5 0.449 0.551 0.750 1
N6 0.551 0.449 0.250 1
N7 0.728 0.272 0.622 1
N8 0.728 0.272 0.878 1
# Formation energy from raw total energies in eV/atom: -0.99
# Energy in eV/atom: -11.323
# Mass density in g/cm³: 12.547
# Total moment in Bohr magnetons per cell: 19.74

***

Record 3
# Y3Pu2NpN6, relaxed, DFT PBE-GGA
data_Y3Pu2NpN6
_chemical_formula_sum 'Y3 Pu2 Np1 N6'
_cell_length_a 6.027
_cell_length_b 6.027
_cell_length_c 5.997
_cell_angle_alpha 99.64
_cell_angle_beta 99.64
_cell_angle_gamma 120.02
_space_group_name_H-M_alt 'P 1'
_space_group_IT_number 1
loop_
_space_group_symop_operation_xyz
'x,y,z'
loop_
_atom_site_label
_atom_site_fract_x
_atom_site_fract_y
_atom_site_fract_z
_atom_site_occupancy
Y1 0.000 0.000 0.000 1
Y2 0.332 0.668 0.000 1
Y3 0.668 0.332 0.000 1
Pu1 0.167 0.833 0.500 1
Pu2 0.833 0.167 0.500 1
Np1 0.500 0.500 0.500 1
N1 0.095 0.420 0.261 1
N2 0.254 0.254 0.738 1
N3 0.420 0.095 0.261 1
N4 0.580 0.905 0.739 1
N5 0.746 0.746 0.262 1
N6 0.905 0.580 0.739 1
# Formation energy from raw total energies in eV/atom: -1.45
# Energy in eV/atom: -10.694
# Mass density in g/cm³: 10.053
# Total moment in Bohr magnetons per cell: 12.73

***

Record 4
# Y2PuNpN4, relaxed, DFT PBE-GGA
data_Y2PuNpN4
_chemical_formula_sum 'Y2 Pu1 Np1 N4'
_cell_length_a 5.993
_cell_length_b 3.473
_cell_length_c 6.020
_cell_angle_alpha 90.00
_cell_angle_beta 109.47
_cell_angle_gamma 90.00
_space_group_name_H-M_alt 'P 1'
_space_group_IT_number 1
loop_
_space_group_symop_operation_xyz
'x,y,z'
loop_
_atom_site_label
_atom_site_fract_x
_atom_site_fract_y
_atom_site_fract_z
_atom_site_occupancy
Y1 0.000 0.000 0.000 1
Y2 0.000 0.500 0.500 1
Pu1 0.500 0.000 0.500 1
Np1 0.500 0.500 0.000 1
N1 0.262 0.000 0.759 1
N2 0.262 0.500 0.248 1
N3 0.738 0.000 0.241 1
N4 0.738 0.500 0.752 1
# Formation energy from raw total energies in eV/atom: -1.43
# Energy in eV/atom: -10.620
# Mass density in g/cm³: 10.047
# Total moment in Bohr magnetons per cell: 7.97

***

Record 5
# Pu2NpZnN5, relaxed, DFT PBE-GGA
data_Pu2NpZnN5
_chemical_formula_sum 'Pu4 Np2 Zn2 N10'
_cell_length_a 6.982
_cell_length_b 6.982
_cell_length_c 10.222
_cell_angle_alpha 90.00
_cell_angle_beta 90.00
_cell_angle_gamma 151.78
_space_group_name_H-M_alt 'P 1'
_space_group_IT_number 1
loop_
_space_group_symop_operation_xyz
'x,y,z'
loop_
_atom_site_label
_atom_site_fract_x
_atom_site_fract_y
_atom_site_fract_z
_atom_site_occupancy
Pu1 0.102 0.898 0.500 1
Pu2 0.131 0.869 0.112 1
Pu3 0.869 0.131 0.612 1
Pu4 0.898 0.102 0.000 1
Np1 0.206 0.794 0.823 1
Np2 0.794 0.206 0.323 1
Zn1 0.483 0.517 0.283 1
Zn2 0.517 0.483 0.783 1
N1 0.055 0.945 0.876 1
N2 0.284 0.716 0.460 1
N3 0.299 0.701 0.189 1
N4 0.360 0.640 0.819 1
N5 0.496 0.504 0.588 1
N6 0.504 0.496 0.088 1
N7 0.640 0.360 0.319 1
N8 0.701 0.299 0.689 1
N9 0.716 0.284 0.960 1
N10 0.945 0.055 0.376 1
# Formation energy from raw total energies in eV/atom: -0.76
# Energy in eV/atom: -10.150
# Mass density in g/cm³: 12.129
# Total moment in Bohr magnetons per cell: 1.14

***

Record 6
# PuZr2NpN4, relaxed, DFT PBE-GGA
data_PuZr2NpN4
_chemical_formula_sum 'Pu1 Zr2 Np1 N4'
_cell_length_a 5.798
_cell_length_b 3.345
_cell_length_c 5.849
_cell_angle_alpha 90.00
_cell_angle_beta 109.26
_cell_angle_gamma 90.00
_space_group_name_H-M_alt 'P 1'
_space_group_IT_number 1
loop_
_space_group_symop_operation_xyz
'x,y,z'
loop_
_atom_site_label
_atom_site_fract_x
_atom_site_fract_y
_atom_site_fract_z
_atom_site_occupancy
Pu1 0.000 0.000 0.000 1
Zr1 0.000 0.500 0.500 1
Zr2 0.500 0.000 0.500 1
Np1 0.500 0.500 0.000 1
N1 0.250 0.000 0.736 1
N2 0.258 0.500 0.265 1
N3 0.742 0.500 0.735 1
N4 0.750 0.000 0.264 1
# Formation energy from raw total energies in eV/atom: -1.47
# Energy in eV/atom: -11.182
# Mass density in g/cm³: 11.158
# Total moment in Bohr magnetons per cell: 1.70